# 1
A relaxed structure of Rb2LiUI6. Source: Alexandria, functional PBE.

Output
**Raw formation energy**: -11.41 eV/f.u.
**Mass density**: 4292 kg/m3
**Total magnetic moment**: 18.000 Bohr magnetons per cell
**N(E_F)**: 0.102 states/eV per atom

a = 8.5382 Å, b = 8.5382 Å, c = 43.2884 Å
α = 90.00°, β = 90.00°, γ = 120.00°
Space group R-3m (No. 166, hexagonal axes)
One atom of each set of equivalent atoms:
Rb  0.0000  0.0000  0.1189
Rb  0.0000  0.0000  0.2962
Li  0.0000  0.0000  0.0000
Li  0.0000  0.0000  0.5000
U  0.0000  0.0000  0.4156
I  0.9996  0.4998  0.1256
I  0.0082  0.5041  0.7067

# 2
A relaxed structure of Rb2LiVI6. Source: Alexandria, functional PBE.

Output
**Raw formation energy**: -9.75 eV/f.u.
**Mass density**: 4270 kg/m3
**Total magnetic moment**: 2.000 Bohr magnetons per cell
**N(E_F)**: 0.922 states/eV per atom

a = 8.088 Å, b = 8.118 Å, c = 8.154 Å
α = 91.76°, β = 118.28°, γ = 119.52°
Space group P1 (No. 1)
One atom of each set of equivalent atoms:
Rb  0.000  0.000  0.000
Rb  0.005  0.499  0.503
Li  0.500  0.748  0.251
V  0.502  0.250  0.751
I  0.026  0.044  0.547
I  0.441  0.006  0.448
I  0.493  0.975  0.953
I  0.513  0.524  0.550
I  0.565  0.494  0.055
I  0.980  0.455  0.955

# 3
A relaxed structure of RbLiWI2. Source: Alexandria, functional PBE.

Output
**Raw formation energy**: 5.47 eV/f.u.
**Mass density**: 2968 kg/m3
**Total magnetic moment**: 6.000 Bohr magnetons per cell
**N(E_F)**: 0.474 states/eV per atom

a = 6.823 Å, b = 6.823 Å, c = 6.370 Å
α = 90.00°, β = 90.00°, γ = 90.00°
Space group P4/mmm (No. 123)
One atom of each set of equivalent atoms:
Rb  0.000  0.000  0.000
Li  0.500  0.500  0.500
W  0.000  0.000  0.500
I  0.000  0.500  0.000

# 4
A relaxed structure of RbLiYI5. Source: Alexandria, functional PBE.

Output
**Raw formation energy**: -10.93 eV/f.u.
**Mass density**: 3662 kg/m3
**Total magnetic moment**: 0.000 Bohr magnetons per cell
**N(E_F)**: 0.000 states/eV per atom

a = 10.161 Å, b = 13.800 Å, c = 11.480 Å
α = 90.00°, β = 113.18°, γ = 90.00°
Space group C2/c (No. 15)
One atom of each set of equivalent atoms:
Rb  0.000  0.150  0.250
Li  0.000  0.192  0.750
Y  0.000  0.500  0.000
I  0.000  0.422  0.250
I  0.110  0.301  0.607
I  0.194  0.067  0.932

# 5
A relaxed structure of Rb2Li2YI6. Source: Alexandria, functional PBE.

Output
**Raw formation energy**: -13.31 eV/f.u.
**Mass density**: 3488 kg/m3
**Total magnetic moment**: 2.023 Bohr magnetons per cell
**N(E_F)**: 0.277 states/eV per atom

a = 14.304 Å, b = 8.683 Å, c = 8.740 Å
α = 90.00°, β = 114.76°, γ = 90.00°
Space group C2/m (No. 12)
One atom of each set of equivalent atoms:
Rb  0.204  0.000  0.168
Li  0.062  0.500  0.273
Y  0.000  0.000  0.500
I  0.055  0.247  0.787
I  0.236  0.000  0.603

# 6
A relaxed structure of RbLiY2I8. Source: Alexandria, functional PBE.

Output
**Raw formation energy**: -15.65 eV/f.u.
**Mass density**: 4189 kg/m3
**Total magnetic moment**: 0.000 Bohr magnetons per cell
**N(E_F)**: 0.000 states/eV per atom

a = 7.9128 Å, b = 7.9128 Å, c = 9.3967 Å
α = 90.00°, β = 90.00°, γ = 120.00°
Space group P-3 (No. 147)
One atom of each set of equivalent atoms:
Rb  0.0000  0.0000  0.0000
Li  0.0000  0.0000  0.5000
Y  0.3333  0.6667  0.4067
I  0.0651  0.3615  0.6549
I  0.3333  0.6667  0.0901

# 7
A relaxed structure of RbLi2YI6. Source: Alexandria, functional PBE.

Output
**Raw formation energy**: -13.05 eV/f.u.
**Mass density**: 3957 kg/m3
**Total magnetic moment**: 0.000 Bohr magnetons per cell
**N(E_F)**: 0.000 states/eV per atom

a = 7.939 Å, b = 7.941 Å, c = 8.612 Å
α = 90.03°, β = 117.42°, γ = 119.93°
Space group P1 (No. 1)
One atom of each set of equivalent atoms:
Rb  0.000  0.000  0.000
Li  0.577  0.289  0.865
Li  0.595  0.798  0.394
Y  0.959  0.479  0.438
I  0.103  0.471  0.166
I  0.105  0.217  0.643
I  0.426  0.888  0.642
I  0.535  0.063  0.166
I  0.695  0.633  0.166
I  0.755  0.539  0.643

# 8
A relaxed structure of Rb2LiZnI6. Source: Alexandria, functional PBE.

Output
**Raw formation energy**: -8.86 eV/f.u.
**Mass density**: 4259 kg/m3
**Total magnetic moment**: 0.001 Bohr magnetons per cell
**N(E_F)**: 1.337 states/eV per atom

a = 8.206 Å, b = 8.206 Å, c = 11.635 Å
α = 90.00°, β = 90.00°, γ = 90.00°
Space group I4/mmm (No. 139)
One atom of each set of equivalent atoms:
Rb  0.000  0.500  0.250
Li  0.000  0.000  0.000
Zn  0.000  0.000  0.500
I  0.000  0.000  0.255
I  0.245  0.245  0.500

# 9
A relaxed structure of RbLiZn2I6. Source: Alexandria, functional PBE.

Output
**Raw formation energy**: -8.61 eV/f.u.
**Mass density**: 3601 kg/m3
**Total magnetic moment**: 0.000 Bohr magnetons per cell
**N(E_F)**: 0.000 states/eV per atom

a = 15.186 Å, b = 15.562 Å, c = 8.140 Å
α = 90.00°, β = 109.25°, γ = 90.00°
Space group C2/c (No. 15)
One atom of each set of equivalent atoms:
Rb  0.000  0.122  0.250
Li  0.000  0.224  0.750
Zn  0.195  0.427  0.192
I  0.121  0.084  0.706
I  0.121  0.278  0.066
I  0.137  0.443  0.473

# 10
A relaxed structure of Rb2LiZrI6. Source: Alexandria, functional PBE.

Output
**Raw formation energy**: -11.33 eV/f.u.
**Mass density**: 4153 kg/m3
**Total magnetic moment**: 4.000 Bohr magnetons per cell
**N(E_F)**: 0.608 states/eV per atom

a = 11.812 Å, b = 11.812 Å, c = 11.812 Å
α = 90.00°, β = 90.00°, γ = 90.00°
Space group Fm-3m (No. 225)
One atom of each set of equivalent atoms:
Rb  0.250  0.250  0.250
Li  0.000  0.000  0.000
Zr  0.000  0.000  0.500
I  0.000  0.000  0.252

# 11
A relaxed structure of RbLiZrI6. Source: Alexandria, functional PBE.

Output
**Raw formation energy**: -9.88 eV/f.u.
**Mass density**: 3768 kg/m3
**Total magnetic moment**: 0.000 Bohr magnetons per cell
**N(E_F)**: 0.000 states/eV per atom

a = 7.6573 Å, b = 7.6573 Å, c = 16.4025 Å
α = 90.00°, β = 90.00°, γ = 120.00°
Space group P-31c (No. 163)
One atom of each set of equivalent atoms:
Rb  0.0000  0.0000  0.0000
Li  0.3333  0.6667  0.2500
Zr  0.3333  0.6667  0.7500
I  0.0113  0.3766  0.6479

# 12
A relaxed structure of Rb2LiZrI6. Source: Alexandria, functional PBE.

Output
**Raw formation energy**: -11.50 eV/f.u.
**Mass density**: 4085 kg/m3
**Total magnetic moment**: 6.008 Bohr magnetons per cell
**N(E_F)**: 0.555 states/eV per atom

a = 8.3341 Å, b = 8.3341 Å, c = 41.7867 Å
α = 90.00°, β = 90.00°, γ = 120.00°
Space group R-3m (No. 166, hexagonal axes)
One atom of each set of equivalent atoms:
Rb  0.0000  0.0000  0.1226
Rb  0.0000  0.0000  0.2998
Li  0.0000  0.0000  0.4200
Zr  0.0000  0.0000  0.0000
Zr  0.0000  0.0000  0.5000
I  0.0020  0.5010  0.1259
I  0.0029  0.5014  0.7075

- Look up the total magnetic moment of the second one.
  2.000 Bohr magnetons per cell

- total magnetic moment of number 9 (RbLiZn2I6)?
  0.000 Bohr magnetons per cell

- The lowest mass density belongs to which entry?
  RbLiWI2